Entry from Alexandria via LeMat-Bulk: a geometry-optimized NaVCr2P structure (PBE).

Calculated values
As for the total energy: -6.47 eV per atom. The volume comes out at 18.633 Å³/atom. The space group is No. 123.

Cell and atoms, written as POSCAR:
```
NaVCr2P
1.0
4.5162 0.0000 0.0000
0.0000 4.5162 0.0000
0.0000 0.0000 4.5677
Na V Cr P
1 1 2 1
Direct
0.0000 0.0000 0.0000
0.5000 0.5000 0.0000
0.0000 0.5000 0.5000
0.5000 0.0000 0.5000
0.5000 0.5000 0.5000
```